Record 1
Here is a geometry-optimized Pr2HoEr3 structure from the Alexandria database. Energies are from PBE.

Cell lengths 3.5332, 13.0351, 17.2967 Å; angles 29.67, 84.14, 82.21 degrees
Fractional coordinates of all 12 atoms:
Er1 0.3539 0.1192 0.1730
Er2 0.6461 0.8808 0.8270
Er3 0.1879 0.1093 0.5149
Er4 0.0256 0.1222 0.8266
Er5 0.8121 0.8907 0.4851
Er6 0.9744 0.8778 0.1734
Pr1 0.4373 0.6211 0.5043
Pr2 0.7799 0.5894 0.8509
Pr3 0.2201 0.4106 0.1491
Pr4 0.5627 0.3789 0.4957
Ho1 0.3997 0.3627 0.8379
Ho2 0.6003 0.6373 0.1621

Computed properties:
Magnetic moment (μB/atom): 0.000
Formation enthalpy at 0 K (eV per atom): 0.0568
Calculated volume (Å³ per atom): 32.54
Excess energy over the best structure of this formula in the dataset (meV per atom): 0

Record 2
Here is a geometry-optimized Ac2MgGa4Ge3 structure from the Alexandria database. Energies are from PBE.

Cell lengths 4.4489, 4.4489, 11.7002 Å; angles 90.00, 90.00, 90.00 degrees
Fractional coordinates of all 10 atoms:
Ac1 0.0000 0.5000 0.7554
Ac2 0.5000 0.0000 0.2446
Mg1 0.5000 0.5000 0.5000
Ga1 0.0000 0.0000 0.0000
Ga2 0.0000 0.5000 0.3595
Ga3 0.5000 0.5000 0.0000
Ga4 0.5000 0.0000 0.6405
Ge1 0.0000 0.0000 0.5000
Ge2 0.5000 0.0000 0.8698
Ge3 0.0000 0.5000 0.1302

Computed properties:
Magnetic moment (μB/atom): 0.000
Formation enthalpy at 0 K (eV per atom): -0.3781
Calculated volume (Å³ per atom): 23.16

Record 3
Here is a geometry-optimized AcCeAgTe structure from the Alexandria database. Energies are from PBE.

Cell lengths 5.5520, 5.5520, 5.5520 Å; angles 60.00, 60.00, 60.00 degrees
Fractional coordinates of all 4 atoms:
Ce1 0.0000 0.0000 0.0000
Ag1 0.7500 0.7500 0.7500
Te1 0.2500 0.2500 0.2500
Ac1 0.5000 0.5000 0.5000

Computed properties:
Magnetic moment (μB/atom): 0.661
Calculated volume (Å³ per atom): 30.25
ΔE_f (raw) (eV/atom): -0.568

Record 4
Here is a geometry-optimized SrPmCu2 structure from the Alexandria database. Energies are from PBE.

Cell lengths 5.1575, 5.1575, 5.1575 Å; angles 60.00, 60.00, 60.00 degrees
Fractional coordinates of all 4 atoms:
Sr1 0.5000 0.5000 0.5000
Cu1 0.2500 0.2500 0.2500
Cu2 0.7500 0.7500 0.7500
Pm1 0.0000 0.0000 0.0000

Computed properties:
Magnetic moment (μB/atom): 0.000
Formation enthalpy at 0 K (eV per atom): -0.0252
Calculated volume (Å³ per atom): 24.25
Excess energy over the best structure of this formula in the dataset (meV per atom): 65

Record 5
Here is a geometry-optimized GaSiN2O structure from the Alexandria database. Energies are from PBE.

Cell lengths 3.9353, 3.9353, 3.8879 Å; angles 90.00, 90.00, 90.00 degrees
Fractional coordinates of all 5 atoms:
Ga1 0.0000 0.0000 0.0000
O1 0.0000 0.0000 0.5000
N1 0.5000 0.0000 0.0000
N2 0.0000 0.5000 0.0000
Si1 0.5000 0.5000 0.5000

Computed properties:
Magnetic moment (μB/atom): 0.587
Calculated volume (Å³ per atom): 12.04
ΔE_f (raw) (eV/atom): 1.034

Record 6
Here is a geometry-optimized MnSi2Au structure from the Alexandria database. Energies are from PBE.

Cell lengths 8.0107, 8.0107, 8.0107 Å; angles 21.60, 21.60, 21.60 degrees
Fractional coordinates of all 4 atoms:
Mn1 0.7428 0.7428 0.7428
Si1 0.2542 0.2542 0.2542
Si2 0.9995 0.9995 0.9995
Au1 0.5034 0.5034 0.5034

Computed properties:
Magnetic moment (μB/atom): 0.846
Calculated volume (Å³ per atom): 15.27
Excess energy over the best structure of this formula in the dataset (meV per atom): 317
ΔE_f (raw) (eV/atom): 0.174

Record 7
Here is a geometry-optimized BaCe2In structure from the Alexandria database. Energies are from PBE.

Cell lengths 3.5327, 3.5327, 12.6292 Å; angles 81.96, 81.96, 60.00 degrees
Fractional coordinates of all 4 atoms:
Ba1 0.0000 0.0000 0.0000
Ce1 0.9038 0.9038 0.2885
Ce2 0.0962 0.0962 0.7115
In1 0.5000 0.5000 0.5000

Computed properties:
Magnetic moment (μB/atom): 0.548
Formation enthalpy at 0 K (eV per atom): 0.2038
Calculated volume (Å³ per atom): 33.68

Record 8
Here is a geometry-optimized Pr3Er8 structure from the Alexandria database. Energies are from PBE.

Cell lengths 3.5687, 3.5687, 31.8463 Å; angles 86.79, 86.79, 60.00 degrees
Fractional coordinates of all 11 atoms:
Pr1 0.2719 0.2719 0.1844
Pr2 0.0000 0.0000 0.0000
Pr3 0.7281 0.7281 0.8156
Er1 0.4554 0.4554 0.6337
Er2 0.1815 0.1815 0.4554
Er3 0.3641 0.3641 0.9078
Er4 0.9076 0.9076 0.2772
Er5 0.6359 0.6359 0.0922
Er6 0.5446 0.5446 0.3663
Er7 0.8185 0.8185 0.5446
Er8 0.0924 0.0924 0.7228

Computed properties:
Magnetic moment (μB/atom): 0.000
Formation enthalpy at 0 K (eV per atom): 0.0241
Calculated volume (Å³ per atom): 31.86
Excess energy over the best structure of this formula in the dataset (meV per atom): 0

Record 9
Here is a geometry-optimized Ti4Al2B structure from the Alexandria database. Energies are from PBE.

Cell lengths 4.1798, 4.1798, 7.5112 Å; angles 73.84, 73.84, 90.00 degrees
Fractional coordinates of all 7 atoms:
Ti1 0.1581 0.1581 0.6838
Ti2 0.5000 0.0000 0.0000
Ti3 0.8419 0.8419 0.3162
Ti4 0.0000 0.5000 0.0000
Al1 0.6376 0.6376 0.7248
Al2 0.3624 0.3624 0.2752
B1 0.0000 0.0000 0.0000

Computed properties:
Magnetic moment (μB/atom): 0.000
Formation enthalpy at 0 K (eV per atom): -0.1759
Calculated volume (Å³ per atom): 17.23

Record 10
Here is a geometry-optimized RbHo2P2N6 structure from the Alexandria database. Energies are from PBE.

Cell lengths 6.2488, 6.4660, 6.3541 Å; angles 116.39, 89.98, 61.14 degrees
Fractional coordinates of all 11 atoms:
N1 0.9350 0.1294 0.3697
N2 0.0111 0.3963 0.1634
N3 0.0650 0.8706 0.6303
N4 0.9889 0.6037 0.8366
N5 0.5924 0.3958 0.1631
N6 0.4076 0.6042 0.8369
P1 0.8470 0.3055 0.2428
P2 0.1530 0.6945 0.7572
Rb1 0.5000 0.0000 0.5000
Ho1 0.1765 0.6470 0.1972
Ho2 0.8235 0.3530 0.8028

Computed properties:
Magnetic moment (μB/atom): 0.042
Calculated volume (Å³ per atom): 17.61
ΔE_f (raw) (eV/atom): -0.742

Record 11
Here is a geometry-optimized SeBr2O structure from the Alexandria database. Energies are from PBE.

Cell lengths 6.8504, 6.8504, 6.9487 Å; angles 60.47, 60.47, 90.00 degrees
Fractional coordinates of all 8 atoms:
Br1 0.3750 0.6250 0.2500
Br2 0.8750 0.6250 0.7500
Br3 0.3750 0.1250 0.2500
Br4 0.3750 0.6250 0.7500
O1 0.2500 0.7500 0.5000
O2 0.5000 0.5000 0.0000
Se1 0.0000 0.0000 0.0000
Se2 0.7500 0.2500 0.5000

Computed properties:
Magnetic moment (μB/atom): 0.539
Calculated volume (Å³ per atom): 29.22
ΔE_f (raw) (eV/atom): 0.704

Record 12
Here is a geometry-optimized USbSe structure from the Alexandria database. Energies are from PBE.

Cell lengths 4.1684, 4.1684, 8.6218 Å; angles 90.00, 90.00, 90.00 degrees
Fractional coordinates of all 6 atoms:
U1 0.0000 0.5000 0.7053
U2 0.5000 0.0000 0.2947
Se1 0.5000 0.0000 0.6355
Se2 0.0000 0.5000 0.3645
Sb1 0.0000 0.0000 0.0000
Sb2 0.5000 0.5000 0.0000

Computed properties:
Magnetic moment (μB/atom): 0.893
Calculated volume (Å³ per atom): 24.97
Excess energy over the best structure of this formula in the dataset (meV per atom): 0
ΔE_f (raw) (eV/atom): -0.803

Record 13
Here is a geometry-optimized KTaMn2 structure from the Alexandria database. Energies are from PBE.

Cell lengths 5.6053, 5.6053, 5.6053 Å; angles 137.69, 137.69, 61.37 degrees
Fractional coordinates of all 4 atoms:
K1 0.7500 0.2500 0.5000
Mn1 0.0000 0.0000 0.0000
Mn2 0.2500 0.7500 0.5000
Ta1 0.5000 0.5000 0.0000

Computed properties:
Magnetic moment (μB/atom): 1.338
Formation enthalpy at 0 K (eV per atom): 1.3963
Calculated volume (Å³ per atom): 19.72
Excess energy over the best structure of this formula in the dataset (meV per atom): 853

Record 14
Here is a geometry-optimized SrZnC structure from the Alexandria database. Energies are from PBE.

Cell lengths 4.1759, 3.8946, 8.9454 Å; angles 102.58, 90.00, 90.00 degrees
Fractional coordinates of all 6 atoms:
Sr1 0.1033 0.3562 0.1377
Sr2 0.6033 0.6527 0.7291
Zn1 0.6033 0.9376 0.3004
Zn2 0.1033 0.0184 0.4602
C1 0.1033 0.2048 0.8336
C2 0.1033 0.1317 0.6869

Computed properties:
Magnetic moment (μB/atom): 0.000
Formation enthalpy at 0 K (eV per atom): 0.0288
Calculated volume (Å³ per atom): 23.66

Record 15
Here is a geometry-optimized Ni4BP structure from the Alexandria database. Energies are from PBE.

Cell lengths 4.2255, 6.1448, 5.8242 Å; angles 115.73, 103.12, 104.92 degrees
Fractional coordinates of all 12 atoms:
Ni1 0.2146 0.2924 0.3483
Ni2 0.3228 0.6365 0.8599
Ni3 0.9629 0.7766 0.1401
Ni4 0.7854 0.7076 0.6517
Ni5 0.6772 0.3635 0.1401
Ni6 0.3663 0.9441 0.6517
Ni7 0.6337 0.0559 0.3483
Ni8 0.0371 0.2234 0.8599
B1 0.2497 0.9997 0.9993
B2 0.7503 0.0003 0.0007
P1 0.6154 0.3654 0.7308
P2 0.3846 0.6346 0.2692

Computed properties:
Magnetic moment (μB/atom): 0.000
Formation enthalpy at 0 K (eV per atom): -0.3523
Calculated volume (Å³ per atom): 10.11
Excess energy over the best structure of this formula in the dataset (meV per atom): 3

Record 16
Here is a geometry-optimized Rb2Sr2Sn structure from the Alexandria database. Energies are from PBE.

Cell lengths 8.8771, 8.8771, 7.4117 Å; angles 90.00, 90.00, 90.00 degrees
Fractional coordinates of all 10 atoms:
Rb1 0.8188 0.3188 0.5000
Rb2 0.1812 0.6812 0.5000
Rb3 0.3188 0.1812 0.5000
Rb4 0.6812 0.8188 0.5000
Sr1 0.8322 0.6678 0.0000
Sr2 0.3322 0.8322 0.0000
Sr3 0.1678 0.3322 0.0000
Sr4 0.6678 0.1678 0.0000
Sn1 0.0000 0.0000 0.0000
Sn2 0.5000 0.5000 0.0000

Computed properties:
Magnetic moment (μB/atom): 0.000
Formation enthalpy at 0 K (eV per atom): -0.0600
Calculated volume (Å³ per atom): 58.41
Excess energy over the best structure of this formula in the dataset (meV per atom): 0

Record 17
Here is a geometry-optimized AcGe2Pd2Pt structure from the Alexandria database. Energies are from PBE.

Cell lengths 4.1720, 4.1720, 9.9054 Å; angles 102.16, 102.16, 90.00 degrees
Fractional coordinates of all 6 atoms:
Pd1 0.7500 0.2500 0.5000
Pd2 0.2500 0.7500 0.5000
Ac1 0.5000 0.5000 0.0000
Pt1 0.0000 0.0000 0.0000
Ge1 0.3235 0.3235 0.6469
Ge2 0.6765 0.6765 0.3531

Computed properties:
Magnetic moment (μB/atom): 0.000
Formation enthalpy at 0 K (eV per atom): -0.2819
Calculated volume (Å³ per atom): 27.43

Record 18
Here is a geometry-optimized Hf2Ga2N structure from the Alexandria database. Energies are from PBE.

Cell lengths 5.4286, 5.4286, 4.9730 Å; angles 56.92, 56.92, 90.00 degrees
Fractional coordinates of all 5 atoms:
Hf1 0.2500 0.7500 0.5000
Hf2 0.7500 0.2500 0.5000
Ga1 0.3095 0.3095 0.3811
Ga2 0.6905 0.6905 0.6189
N1 0.0000 0.0000 0.0000

Computed properties:
Magnetic moment (μB/atom): 0.000
Calculated volume (Å³ per atom): 18.63
Excess energy over the best structure of this formula in the dataset (meV per atom): 393
ΔE_f (raw) (eV/atom): 0.711

Record 19
Here is a geometry-optimized LiCd2In8 structure from the Alexandria database. Energies are from PBE.

Cell lengths 4.6404, 4.6404, 12.9985 Å; angles 90.00, 90.00, 90.00 degrees
Fractional coordinates of all 11 atoms:
Cd1 0.0000 0.0000 0.6854
Cd2 0.0000 0.0000 0.3146
In1 0.0000 0.5000 0.1318
In2 0.5000 0.0000 0.5000
In3 0.5000 0.0000 0.1318
In4 0.5000 0.0000 0.8682
In5 0.0000 0.5000 0.5000
In6 0.5000 0.5000 0.6863
In7 0.0000 0.5000 0.8682
In8 0.5000 0.5000 0.3137
Li1 0.0000 0.0000 0.0000

Computed properties:
Magnetic moment (μB/atom): 0.000
Formation enthalpy at 0 K (eV per atom): -0.0053
Calculated volume (Å³ per atom): 25.45
Excess energy over the best structure of this formula in the dataset (meV per atom): 0

Record 20
Here is a geometry-optimized TaSi2Se structure from the Alexandria database. Energies are from PBE.

Cell lengths 4.3360, 3.2005, 5.1017 Å; angles 71.81, 90.00, 90.00 degrees
Fractional coordinates of all 4 atoms:
Si1 0.0000 0.9746 0.9270
Si2 0.5000 0.2859 0.3008
Se1 0.5000 0.5383 0.7994
Ta1 0.0000 0.7012 0.4727

Computed properties:
Magnetic moment (μB/atom): 0.000
Calculated volume (Å³ per atom): 16.81
ΔE_f (raw) (eV/atom): 0.061